1.
A relaxed structure of Ho4AsCS2, computed with PBE.

Lattice parameters (Å, degrees): 5.497 5.497 6.762 113.98 113.98 90.00
Fractional positions:
Ho 0.970 0.470 0.941
Ho 0.530 0.030 0.059
Ho 0.751 0.751 0.502
Ho 0.249 0.249 0.498
As 0.500 0.500 0.000
C 0.750 0.250 0.500
S 0.250 0.750 0.500
S 0.000 0.000 0.000

Properties
The value obtained for the uncorrected formation energy is -1.4624 eV per atom. Its mass density is 8.05 g/cm³. The value obtained for the energy is -52.138 eV per cell. The crystal system is tetragonal. For the spin magnetization, the calculation gives 0.0 μB/f.u. As for the space group: No. 119.

=====

2.
A relaxed structure of Ho8As4CS3, computed with PBE.

Lattice parameters (Å, degrees): 7.931 7.918 7.930 120.05 120.00 90.00
Fractional positions:
Ho 0.234 0.733 0.999
Ho 0.234 0.733 0.469
Ho 0.250 0.251 0.501
Ho 0.765 0.733 0.999
Ho 0.235 0.267 0.001
Ho 0.750 0.749 0.499
Ho 0.766 0.267 0.531
Ho 0.766 0.267 0.001
As 0.500 0.000 0.000
As 0.500 0.000 0.500
As 0.000 0.000 0.000
As 0.000 0.000 0.500
C 0.000 0.500 0.000
S 0.500 0.500 0.000
S 0.500 0.500 0.500
S 0.000 0.500 0.500

Properties
The value obtained for the uncorrected formation energy is -1.5665 eV per atom. Its mass density is 8.15 g/cm³. The value obtained for the energy is -101.891 eV per cell. The crystal system is trigonal. For the spin magnetization, the calculation gives 0.0 μB/f.u. As for the space group: No. 166.

=====

3.
A relaxed structure of Ho8As3CS3, computed with PBE.

Lattice parameters (Å, degrees): 7.878 7.877 7.934 119.77 90.00 120.00
Fractional positions:
Ho 0.251 0.502 0.253
Ho 0.749 0.498 0.747
Ho 0.773 0.546 0.276
Ho 0.227 0.454 0.724
Ho 0.773 0.003 0.276
Ho 0.227 0.997 0.724
Ho 0.229 0.003 0.276
Ho 0.771 0.997 0.724
As 0.000 0.000 0.000
As 0.000 0.500 0.000
As 0.500 0.500 0.000
C 0.000 0.000 0.500
S 0.500 0.000 0.500
S 0.500 0.500 0.500
S 0.000 0.500 0.500

Properties
The value obtained for the uncorrected formation energy is -1.4603 eV per atom. Its mass density is 7.85 g/cm³. The value obtained for the energy is -94.081 eV per cell. The crystal system is trigonal. For the spin magnetization, the calculation gives 0.0 μB/f.u. As for the space group: No. 166.

=====

4.
A relaxed structure of Ho8As3CSe4, computed with PBE.

Lattice parameters (Å, degrees): 8.030 8.092 8.030 119.75 120.00 90.00
Fractional positions:
Ho 0.227 0.721 0.994
Ho 0.227 0.721 0.455
Ho 0.254 0.261 0.508
Ho 0.767 0.721 0.994
Ho 0.233 0.279 0.006
Ho 0.746 0.739 0.492
Ho 0.773 0.279 0.545
Ho 0.773 0.279 0.006
As 0.500 0.500 0.000
As 0.500 0.500 0.500
As 0.000 0.500 0.500
C 0.000 0.500 0.000
Se 0.500 0.000 0.000
Se 0.500 0.000 0.500
Se 0.000 0.000 0.000
Se 0.000 0.000 0.500

Properties
The value obtained for the uncorrected formation energy is -1.5489 eV per atom. Its mass density is 8.40 g/cm³. The value obtained for the energy is -98.514 eV per cell. The crystal system is trigonal. For the spin magnetization, the calculation gives 0.0 μB/f.u. As for the space group: No. 166.

=====

5.
A relaxed structure of Ho6AsC2Se3, computed with PBE.

Lattice parameters (Å, degrees): 3.852 7.995 8.827 104.58 102.60 90.00
Fractional positions:
Ho 0.330 0.876 0.660
Ho 0.679 0.559 0.358
Ho 0.670 0.124 0.340
Ho 0.020 0.258 0.041
Ho 0.980 0.742 0.959
Ho 0.321 0.441 0.642
As 0.500 0.000 0.000
C 0.830 0.662 0.660
C 0.170 0.338 0.340
Se 0.500 0.500 0.000
Se 0.838 0.168 0.677
Se 0.162 0.832 0.323

Properties
The value obtained for the uncorrected formation energy is -1.3397 eV per atom. Its mass density is 8.59 g/cm³. The value obtained for the energy is -77.094 eV per cell. The crystal system is monoclinic. For the spin magnetization, the calculation gives 0.0 μB/f.u. As for the space group: No. 12.

=====

6.
A relaxed structure of Ho8Te3As3C, computed with PBE.

Lattice parameters (Å, degrees): 8.183 8.182 8.500 118.76 90.00 120.02
Fractional positions:
Ho 0.262 0.524 0.286
Ho 0.738 0.476 0.714
Ho 0.787 0.574 0.304
Ho 0.213 0.426 0.696
Ho 0.787 0.017 0.304
Ho 0.213 0.983 0.696
Ho 0.230 0.017 0.304
Ho 0.770 0.983 0.696
Te 0.000 0.000 0.000
Te 0.000 0.500 0.000
Te 0.500 0.500 0.000
As 0.500 0.000 0.500
As 0.500 0.500 0.500
As 0.000 0.500 0.500
C 0.000 0.000 0.500

Properties
The value obtained for the uncorrected formation energy is -1.1759 eV per atom. Its mass density is 7.86 g/cm³. The value obtained for the energy is -86.857 eV per cell. The crystal system is trigonal. For the spin magnetization, the calculation gives 0.8 μB/f.u. As for the space group: No. 166.

=====

7.
A relaxed structure of Ho6Te3AsC2, computed with PBE.

Lattice parameters (Å, degrees): 3.940 8.351 9.204 106.36 102.36 90.00
Fractional positions:
Ho 0.331 0.867 0.663
Ho 0.682 0.552 0.365
Ho 0.669 0.133 0.337
Ho 0.027 0.250 0.053
Ho 0.973 0.750 0.947
Ho 0.318 0.448 0.635
Te 0.500 0.500 0.000
Te 0.840 0.168 0.681
Te 0.160 0.832 0.319
As 0.500 0.000 0.000
C 0.829 0.662 0.658
C 0.171 0.338 0.342

Properties
The value obtained for the uncorrected formation energy is -1.0717 eV per atom. Its mass density is 8.63 g/cm³. The value obtained for the energy is -72.849 eV per cell. The crystal system is monoclinic. For the spin magnetization, the calculation gives 0.0 μB/f.u. As for the space group: No. 12.

=====

8.
A relaxed structure of AsCI, computed with PBE.

Lattice parameters (Å, degrees): 4.867 5.237 6.192 85.34 71.08 76.01
Fractional positions:
I 0.326 0.091 0.187
As 0.701 0.518 0.606
C 0.990 0.322 0.416

Properties
The value obtained for the uncorrected formation energy is 1.1466 eV per atom. Its mass density is 2.45 g/cm³. The value obtained for the energy is -11.984 eV per cell. The crystal system is triclinic. For the spin magnetization, the calculation gives 0.0 μB/f.u. As for the space group: No. 1.